Record 1
This record from Alexandria via LeMat-Bulk describes a relaxed structure of K2LiZrTa. The functional is PBE-GGA.

Values from the calculation:
- DFT formation energy: 1.69 eV per atom
- Final energy: -16.0 eV per cell
- Space group: No. 123

Cell lengths 4.775, 6.084, 4.775 Å; angles 90.00, 90.00, 90.00 degrees
Site moments in Bohr magnetons follow the coordinates.
Element x y z (fractional)
K: 0.000 0.000 0.500  0.02
K: 0.500 0.000 0.000  0.02
Li: 0.000 0.000 0.000  0.00
Zr: 0.000 0.500 0.000  0.52
Ta: 0.500 0.500 0.500  1.33



Record 2
This record from Alexandria via LeMat-Bulk describes a relaxed structure of YAl2Bi2. The functional is PBE-GGA.

Values from the calculation:
- DFT formation energy: -0.09 eV per atom
- Final energy: -44.3 eV per cell
- Distance to the lowest polymorph of the same formula: 0 meV/atom
- Space group: No. 127

Cell lengths 7.916, 7.916, 4.108 Å; angles 90.00, 90.00, 90.00 degrees
Element x y z (fractional)
Y: 0.000 0.000 0.000
Y: 0.500 0.500 0.000
Bi: 0.178 0.678 0.500
Bi: 0.678 0.822 0.500
Bi: 0.822 0.322 0.500
Bi: 0.322 0.178 0.500
Al: 0.380 0.880 0.000
Al: 0.880 0.620 0.000
Al: 0.620 0.120 0.000
Al: 0.120 0.380 0.000



Record 3
This record from Alexandria via LeMat-Bulk describes a relaxed structure of Rb3Tl3Sn2. The functional is PBE-GGA.

Values from the calculation:
- DFT formation energy: -0.08 eV per atom
- Final energy: -37.3 eV per cell
- Distance to the lowest polymorph of the same formula: 62 meV/atom
- Space group: No. 63

Cell lengths 6.005, 6.805, 17.281 Å; angles 90.00, 90.00, 116.18 degrees
Element x y z (fractional)
Rb: 0.665 0.330 0.033
Rb: 0.335 0.670 0.533
Rb: 0.665 0.330 0.467
Rb: 0.335 0.670 0.967
Rb: 0.493 0.986 0.250
Rb: 0.507 0.014 0.750
Tl: 0.971 0.942 0.094
Tl: 0.029 0.058 0.594
Tl: 0.971 0.942 0.406
Tl: 0.029 0.058 0.906
Tl: 0.805 0.609 0.250
Tl: 0.195 0.391 0.750
Sn: 0.800 0.599 0.667
Sn: 0.200 0.401 0.167
Sn: 0.800 0.599 0.833
Sn: 0.200 0.401 0.333



Record 4
This record from Alexandria via LeMat-Bulk describes a relaxed structure of PrNd12Ho2. The functional is PBE-GGA.

Values from the calculation:
- DFT formation energy: 0.15 eV per atom
- Final energy: -137.7 eV per cell
- Space group: No. 67

Cell lengths 6.860, 6.860, 25.107 Å; angles 90.00, 90.00, 63.49 degrees
Element x y z (fractional)
Pr: 0.500 0.000 0.002
Pr: 0.000 0.500 0.998
Nd: 0.500 0.500 0.800
Nd: 0.000 0.000 0.800
Nd: 0.752 0.748 0.868
Nd: 0.253 0.753 0.924
Nd: 0.000 0.000 0.325
Nd: 0.247 0.747 0.076
Nd: 0.774 0.274 0.560
Nd: 0.500 0.500 0.325
Nd: 0.248 0.252 0.868
Nd: 0.748 0.752 0.132
Nd: 0.269 0.231 0.585
Nd: 0.726 0.226 0.440
Nd: 0.000 0.000 0.675
Nd: 0.231 0.269 0.415
Nd: 0.252 0.248 0.132
Nd: 0.769 0.731 0.415
Nd: 0.731 0.769 0.585
Nd: 0.000 0.000 0.200
Nd: 0.226 0.726 0.560
Nd: 0.500 0.500 0.675
Nd: 0.747 0.247 0.924
Nd: 0.500 0.500 0.200
Nd: 0.274 0.774 0.440
Nd: 0.753 0.253 0.076
Ho: 0.500 0.000 0.272
Ho: 0.000 0.500 0.268
Ho: 0.000 0.500 0.728
Ho: 0.500 0.000 0.732



Record 5
This record from Alexandria via LeMat-Bulk describes a relaxed structure of YSiSe2. The functional is PBE-GGA.

Values from the calculation:
- Uncorrected formation energy: -0.521 eV per atom
- Final energy: -41.9 eV per cell
- Distance to the lowest polymorph of the same formula: 428 meV/atom
- Space group: No. 122

Cell lengths 5.393, 5.393, 8.714 Å; angles 71.97, 71.97, 90.00 degrees
Element x y z (fractional)
Y: 0.000 0.000 0.000
Y: 0.750 0.250 0.500
Si: 0.500 0.500 0.000
Si: 0.250 0.750 0.500
Se: 0.603 0.125 0.250
Se: 0.147 0.625 0.250
Se: 0.375 0.397 0.750
Se: 0.875 0.853 0.750



Record 6
This record from Alexandria via LeMat-Bulk describes a relaxed structure of CaBeNbN3. The functional is PBE-GGA.

Values from the calculation:
- Uncorrected formation energy: -1.030 eV per atom
- Final energy: -93.9 eV per cell
- Space group: No. 11

Cell lengths 3.129, 6.773, 6.882 Å; angles 104.74, 90.00, 90.00 degrees
Element x y z (fractional)
Ca: 0.250 0.188 0.220
Ca: 0.750 0.812 0.780
Be: 0.250 0.079 0.599
Be: 0.750 0.921 0.401
Nb: 0.250 0.666 0.173
Nb: 0.750 0.334 0.827
N: 0.750 0.871 0.146
N: 0.250 0.129 0.854
N: 0.250 0.826 0.472
N: 0.750 0.174 0.528
N: 0.750 0.450 0.162
N: 0.250 0.550 0.838



Record 7
This record from Alexandria via LeMat-Bulk describes a relaxed structure of NaAgSb2Se4. The functional is PBE-GGA.

Values from the calculation:
- Uncorrected formation energy: -0.352 eV per atom
- Final energy: -29.2 eV per cell
- Space group: No. 42

Cell lengths 6.994, 6.994, 6.080 Å; angles 114.26, 114.26, 106.59 degrees
Element x y z (fractional)
Na: 0.066 0.066 0.132
Ag: 0.510 0.510 0.020
Sb: 0.796 0.296 0.593
Sb: 0.296 0.796 0.593
Se: 0.572 0.572 0.641
Se: 0.359 0.831 0.191
Se: 0.831 0.359 0.191
Se: 0.068 0.068 0.641



Record 8
This record from Alexandria via LeMat-Bulk describes a relaxed structure of Ce4LuMg. The functional is PBE-GGA.

Values from the calculation:
- DFT formation energy: 0.25 eV per atom
- Final energy: -28.4 eV per cell
- Space group: No. 216

Cell lengths 6.235, 6.235, 6.235 Å; angles 60.00, 60.00, 60.00 degrees
Site moments in Bohr magnetons follow the coordinates.
Element x y z (fractional)
Mg: 0.000 0.000 0.000  0.00
Lu: 0.250 0.250 0.250  0.07
Ce: 0.632 0.632 0.105  0.66
Ce: 0.632 0.105 0.632  0.66
Ce: 0.632 0.632 0.632  0.66
Ce: 0.105 0.632 0.632  0.66